A plane-wave DFT calculation with PBE was carried out for a relaxed ZnTc2NiN crystal.

Lattice parameters (Å, degrees): 4.0432 4.0432 3.7829 90.00 90.00 90.00
Fractional coordinates of all 5 atoms:
N 0.0000 0.0000 0.0000
Zn 0.5000 0.5000 0.5000
Tc 0.5000 0.0000 0.0000
Tc 0.0000 0.5000 0.0000
Ni 0.0000 0.0000 0.5000

## Properties
**E above lowest polymorph**: 0 meV per atom
**M_tot**: 0.00 μB/cell
**Formation energy (no corrections)**: 0.0296 eV per atom
**DOS(E_F)**: 0.88 states/eV/atom
**VASP energy**: -36.0 eV/cell

A plane-wave DFT calculation with PBE was carried out for a relaxed CeDy4Tl5 crystal.

Lattice parameters (Å, degrees): 3.6063 3.6063 21.2412 90.00 90.00 90.00
Last column: magnetic moment on the atom in μB.
Fractional coordinates of all 10 atoms:
Tl 0.5000 0.5000 0.5000  0.00
Tl 0.5000 0.5000 0.1051  0.00
Tl 0.5000 0.5000 0.8949  0.00
Tl 0.5000 0.5000 0.6973  0.00
Tl 0.5000 0.5000 0.3027  0.00
Dy 0.0000 0.0000 0.2041  -0.07
Dy 0.0000 0.0000 0.5987  0.08
Dy 0.0000 0.0000 0.7959  -0.07
Dy 0.0000 0.0000 0.4013  0.08
Ce 0.0000 0.0000 0.0000  1.02

## Properties
**M_tot**: 1.41 μB/cell
**DOS(E_F)**: 1.39 states/eV/atom
**ΔH_f (0 K)**: -0.32 eV/atom
**VASP energy**: -39.4 eV/cell

A plane-wave DFT calculation with PBE was carried out for a relaxed Li2BiP3O10 crystal.

Lattice parameters (Å, degrees): 9.0888 5.2205 12.6039 72.10 90.00 90.00
Fractional coordinates of all 32 atoms:
P 0.7500 0.5237 0.9711
P 0.7500 0.3573 0.4382
P 0.2500 0.6427 0.5618
P 0.2500 0.4763 0.0289
P 0.7500 0.6202 0.1893
P 0.2500 0.3798 0.8107
O 0.6083 0.7829 0.1730
O 0.3908 0.3193 0.0713
O 0.7500 0.6419 0.4477
O 0.7500 0.4373 0.1073
O 0.1092 0.3193 0.0713
O 0.7500 0.2409 0.9536
O 0.2500 0.6123 0.6970
O 0.8917 0.7829 0.1730
O 0.3917 0.2171 0.8270
O 0.2500 0.7591 0.0464
O 0.6103 0.1984 0.4797
O 0.2500 0.3581 0.5523
O 0.1103 0.8016 0.5203
O 0.8908 0.6807 0.9287
O 0.7500 0.3877 0.3030
O 0.1083 0.2171 0.8270
O 0.6092 0.6807 0.9287
O 0.2500 0.5627 0.8927
O 0.3897 0.8016 0.5203
O 0.8897 0.1984 0.4797
Li 0.0824 0.1591 0.5348
Li 0.5824 0.8409 0.4652
Li 0.9176 0.8409 0.4652
Li 0.4176 0.1591 0.5348
Bi 0.5000 0.0000 0.0000
Bi 0.0000 0.0000 0.0000

## Properties
**M_tot**: 0.00 μB/cell
**Formation energy (no corrections)**: -2.0992 eV per atom
**DOS(E_F)**: 0.00 states/eV/atom
**VASP energy**: -214.2 eV/cell

A plane-wave DFT calculation with PBE was carried out for a relaxed Pu2PaRh crystal.

Lattice parameters (Å, degrees): 4.9443 4.9443 4.9443 60.00 60.00 60.00
Last column: magnetic moment on the atom in μB.
Fractional coordinates of all 4 atoms:
Pa 0.5000 0.5000 0.5000  1.20
Pu 0.2500 0.2500 0.2500  5.19
Pu 0.7500 0.7500 0.7500  5.19
Rh 0.0000 0.0000 0.0000  -0.15

## Properties
**E above lowest polymorph**: 118 meV per atom
**M_tot**: 11.92 μB/cell
**DOS(E_F)**: 3.37 states/eV/atom
**ΔH_f (0 K)**: -0.10 eV/atom
**VASP energy**: -45.9 eV/cell

A plane-wave DFT calculation with PBE was carried out for a relaxed BaMn crystal.

Lattice parameters (Å, degrees): 4.2693 4.2693 9.9550 90.00 90.00 120.00
Last column: magnetic moment on the atom in μB.
Fractional coordinates of all 4 atoms:
Ba 0.6667 0.3333 0.3264  -0.06
Ba 0.0000 0.0000 0.9236  -0.06
Mn 0.0000 0.0000 0.5627  3.85
Mn 0.6667 0.3333 0.6873  3.85

## Properties
**M_tot**: 7.86 μB/cell
**DOS(E_F)**: 1.07 states/eV/atom
**ΔH_f (0 K)**: 0.79 eV/atom
**VASP energy**: -19.0 eV/cell

A plane-wave DFT calculation with PBE was carried out for a relaxed Ti3Be2Ga4 crystal.

Lattice parameters (Å, degrees): 4.0580 5.0479 7.6162 114.40 90.00 113.70
Fractional coordinates of all 9 atoms:
Ga 0.2911 0.5822 0.9410
Ga 0.9321 0.8642 0.6101
Ga 0.0679 0.1358 0.3899
Ga 0.7089 0.4178 0.0590
Ti 0.3369 0.6739 0.3339
Ti 0.0000 0.0000 0.0000
Ti 0.6631 0.3261 0.6661
Be 0.3892 0.7785 0.7172
Be 0.6108 0.2215 0.2828

## Properties
**M_tot**: 0.00 μB/cell
**DOS(E_F)**: 0.33 states/eV/atom
**ΔH_f (0 K)**: -0.37 eV/atom
**VASP energy**: -46.6 eV/cell